Entry from the Alexandria database: crystalline TlHg at its relaxed geometry (PBE-GGA).

extended XYZ file:
```
12
Lattice="-2.790 8.061 1.430 -5.994 -3.040 5.444 5.577 0.765 6.567" Properties=species:S:1:pos:R:3 pbc="T T T"
Hg -3.694 0.495 3.080
Hg -1.707 -1.897 7.367
Hg -5.089 4.526 3.795
Hg -0.001 4.222 2.357
Hg 1.290 -0.377 4.644
Hg 2.788 4.604 5.640
Tl 2.091 2.398 3.641
Tl 1.186 -0.946 7.647
Tl -5.890 1.750 4.798
Tl -2.893 3.270 2.076
Tl 0.696 6.428 4.356
Tl -1.603 -1.329 4.364
```

## Properties
E: -12.9 eV/cell
Crystal system: cubic
Space-group type: Pm-3n (223)
Calculated density: 6.24 g/cm³
DFT formation energy: 0.256 eV per atom